Entry 1:
# RbTmTe3Pb, optimized geometry, DFT GGA-PBE
# Polymorph energy (0 for the lowest one) = 105 meV/atom
# Space group = Cmcm (63)
# Calculated density = 5.880 g cm⁻³
# V = 39.74 Å³/atom
# M_tot = 0.000 μB/atom
# Electronic total energy = -0.2920 Ry/atom
data_RbTmTe3Pb
_chemical_formula_sum 'Rb2 Tm2 Te6 Pb2'
_symmetry_space_group_name_H-M 'P 1'
_symmetry_Int_Tables_number 1
_symmetry_space_group_name_Hall 'P 1'
_cell_length_a 8.701
_cell_length_b 8.701
_cell_length_c 12.708
_cell_angle_alpha 90.00
_cell_angle_beta 90.00
_cell_angle_gamma 150.28
loop_
_atom_site_label
_atom_site_type_symbol
_atom_site_fract_x
_atom_site_fract_y
_atom_site_fract_z
Te1 Te 0.625 0.375 0.489
Te2 Te 0.040 0.960 0.750
Te3 Te 0.375 0.625 0.511
Te4 Te 0.960 0.040 0.250
Te5 Te 0.375 0.625 0.989
Te6 Te 0.625 0.375 0.011
Rb1 Rb 0.723 0.277 0.750
Rb2 Rb 0.277 0.723 0.250
Pb1 Pb 0.580 0.420 0.250
Pb2 Pb 0.420 0.580 0.750
Tm1 Tm 0.000 0.000 0.000
Tm2 Tm 0.000 0.000 0.500

***

Entry 2:
# RbUPb, optimized geometry, DFT GGA-PBE
# Polymorph energy (0 for the lowest one) = 0 meV/atom
# Space group = F-43m (216)
# Calculated density = 6.815 g cm⁻³
# V = 43.11 Å³/atom
# M_tot = 1.000 μB/atom
# Electronic total energy = -0.3122 Ry/atom
data_RbUPb
_chemical_formula_sum 'Rb1 U1 Pb1'
_symmetry_space_group_name_H-M 'P 1'
_symmetry_Int_Tables_number 1
_symmetry_space_group_name_Hall 'P 1'
_cell_length_a 5.676
_cell_length_b 5.676
_cell_length_c 5.676
_cell_angle_alpha 60.00
_cell_angle_beta 60.00
_cell_angle_gamma 60.00
loop_
_atom_site_label
_atom_site_type_symbol
_atom_site_fract_x
_atom_site_fract_y
_atom_site_fract_z
U1 U 0.750 0.750 0.750
Rb1 Rb 0.250 0.250 0.250
Pb1 Pb 0.000 0.000 0.000

***

Entry 3:
# RbPb5W3, optimized geometry, DFT GGA-PBE
# Space group = P6/mmm (191)
# Calculated density = 10.804 g cm⁻³
# V = 28.57 Å³/atom
# M_tot = 0.001 μB/atom
# Electronic total energy = -0.4496 Ry/atom
data_RbPb5W3
_chemical_formula_sum 'Rb1 Pb5 W3'
_symmetry_space_group_name_H-M 'P 1'
_symmetry_Int_Tables_number 1
_symmetry_space_group_name_Hall 'P 1'
_cell_length_a 5.651
_cell_length_b 5.651
_cell_length_c 9.299
_cell_angle_alpha 90.00
_cell_angle_beta 90.00
_cell_angle_gamma 120.00
loop_
_atom_site_label
_atom_site_type_symbol
_atom_site_fract_x
_atom_site_fract_y
_atom_site_fract_z
W1 W 0.500 0.000 0.500
W2 W 0.500 0.500 0.500
W3 W 0.000 0.500 0.500
Pb1 Pb 0.667 0.333 0.228
Pb2 Pb 0.333 0.667 0.228
Pb3 Pb 0.333 0.667 0.772
Pb4 Pb 0.000 0.000 0.500
Pb5 Pb 0.667 0.333 0.772
Rb1 Rb 0.000 0.000 0.000